## CsCoB2Sb (GGA-PBE)

Data for CsCoB2Sb after structural relaxation.

It has space group P4/mmm (No. 123), with a = 4.289 Å, b = 4.289 Å, c = 5.195 Å, α = 90.00°, β = 90.00° and γ = 90.00°. The inequivalent atoms are Cs at (0.000, 0.000, 0.000), Co at (0.500, 0.500, 0.500), B at (0.000, 0.500, 0.500) and Sb at (0.500, 0.500, 0.000).

Its final energy is -19.5 eV for the cell shown.

***

## Cr2RePb (GGA-PBE)

Data for Cr2RePb after structural relaxation.

It has space group P4mm (No. 99), with a = 3.006 Å, b = 3.006 Å, c = 7.619 Å, α = 90.00°, β = 90.00° and γ = 90.00°. The inequivalent atoms are Cr at (0.000, 0.000, 0.000), Cr at (0.500, 0.500, 0.202), Re at (0.500, 0.500, 0.821) and Pb at (0.000, 0.000, 0.518).

As for the formation energy: 2.336 eV per formula unit.

***

## Rb8BrCl2O3 (GGA-PBE)

Data for Rb8BrCl2O3 after structural relaxation.

It has space group R3m (No. 160, hexagonal axes), with a = 8.9129 Å, b = 8.9129 Å, c = 23.1989 Å, α = 90.00°, β = 90.00° and γ = 120.00°. The inequivalent atoms are Rb at (0.0000, 0.0000, 0.0000), Rb at (0.0000, 0.0000, 0.4619), Rb at (0.0478, 0.5239, 0.0035), Rb at (0.1879, 0.3759, 0.7958), Br at (0.0000, 0.0000, 0.6065), Cl at (0.0000, 0.0000, 0.2324), Cl at (0.0000, 0.0000, 0.8548) and O at (0.0000, 0.5000, 0.7324).

Its final energy is -138.7 eV for the cell shown.

***

## LiTbUS4 (GGA-PBE)

Data for LiTbUS4 after structural relaxation.

It has space group Imma (No. 74), with a = 7.931 Å, b = 8.002 Å, c = 11.234 Å, α = 90.00°, β = 90.00° and γ = 90.00°. The inequivalent atoms are Li at (0.000, 0.250, 0.132), Tb at (0.250, 0.250, 0.750), U at (0.000, 0.000, 0.500), S at (0.000, 0.012, 0.739) and S at (0.232, 0.250, 0.504).

Its final energy is -182.8 eV for the cell shown.

***

## LaY2BiRu (GGA-PBE)

Data for LaY2BiRu after structural relaxation.

It has space group P4/mmm (No. 123), with a = 5.411 Å, b = 5.411 Å, c = 5.276 Å, α = 90.00°, β = 90.00° and γ = 90.00°. The inequivalent atoms are La at (0.000, 0.000, 0.000), Y at (0.000, 0.500, 0.500), Bi at (0.500, 0.500, 0.000) and Ru at (0.000, 0.000, 0.500).

As for the formation energy: -2.030 eV per formula unit.

***

## NpGa3O7 (GGA-PBE)

Data for NpGa3O7 after structural relaxation.

It has space group R3m (No. 160, hexagonal axes), with a = 8.0978 Å, b = 8.0978 Å, c = 7.9022 Å, α = 90.00°, β = 90.00° and γ = 120.00°. The inequivalent atoms are Np at (0.0000, 0.0000, 0.0000), Ga at (0.0678, 0.5339, 0.0199), O at (0.0000, 0.0000, 0.3211), O at (0.0106, 0.5053, 0.7881) and O at (0.2139, 0.4279, 0.5266).

Its final energy is -234.0 eV for the cell shown.

***

## Rb3BeAs (GGA-PBE)

Data for Rb3BeAs after structural relaxation.

It has space group Pm-3m (No. 221), with a = 6.762 Å, b = 6.762 Å, c = 6.762 Å, α = 90.00°, β = 90.00° and γ = 90.00°. The inequivalent atoms are Rb at (0.000, 0.000, 0.500), Be at (0.500, 0.500, 0.500) and As at (0.000, 0.000, 0.000).

Its energy above the most stable polymorph in this dataset is 0 meV per atom. As for the formation energy: 2.546 eV per formula unit.

***

## Ga3Cu (GGA-PBE)

Data for Ga3Cu after structural relaxation.

It has space group Pm-3m (No. 221), with a = 4.043 Å, b = 4.043 Å, c = 4.043 Å, α = 90.00°, β = 90.00° and γ = 90.00°. The inequivalent atoms are Ga at (0.000, 0.000, 0.500) and Cu at (0.500, 0.500, 0.500).

As for the formation energy: 0.231 eV per formula unit.

***

## TaSbW2 (GGA-PBE)

Data for TaSbW2 after structural relaxation.

It has space group Immm (No. 71), with a = 3.408 Å, b = 4.534 Å, c = 9.112 Å, α = 90.00°, β = 90.00° and γ = 90.00°. The inequivalent atoms are Ta at (0.000, 0.000, 0.000), Sb at (0.000, 0.000, 0.500) and W at (0.000, 0.500, 0.255).

Its final energy is -81.1 eV for the cell shown.

***

## CaTeC (GGA-PBE)

Data for CaTeC after structural relaxation.

It has space group P1 (No. 1), with a = 4.234 Å, b = 6.047 Å, c = 6.768 Å, α = 94.97°, β = 106.31° and γ = 107.07°. The inequivalent atoms are Ca at (0.000, 0.000, 0.000), Ca at (0.459, 0.588, 0.468), Te at (0.731, 0.446, 0.099), Te at (0.883, 0.110, 0.437), C at (0.102, 0.886, 0.635) and C at (0.361, 0.853, 0.760).

Its energy above the most stable polymorph in this dataset is 60 meV per atom.

***

## Re2HgBiH (GGA-PBE)

Data for Re2HgBiH after structural relaxation.

It has space group P4/mmm (No. 123), with a = 5.211 Å, b = 5.211 Å, c = 6.246 Å, α = 90.00°, β = 90.00° and γ = 90.00°. The inequivalent atoms are Re at (0.000, 0.500, 0.000), Hg at (0.000, 0.000, 0.500), Bi at (0.000, 0.000, 0.000) and H at (0.500, 0.500, 0.500).

Its final energy is -18.4 eV for the cell shown.

***

## Sr2TlAg (GGA-PBE)

Data for Sr2TlAg after structural relaxation.

It has space group P4/mmm (No. 123), with a = 4.050 Å, b = 4.050 Å, c = 7.911 Å, α = 90.00°, β = 90.00° and γ = 90.00°. The inequivalent atoms are Sr at (0.000, 0.000, 0.242), Tl at (0.500, 0.500, 0.500) and Ag at (0.500, 0.500, 0.000).

As for the formation energy: -1.311 eV per formula unit.

***

## SiBIO2 (GGA-PBE)

Data for SiBIO2 after structural relaxation.

It has space group P4/mmm (No. 123), with a = 3.391 Å, b = 3.391 Å, c = 7.021 Å, α = 90.00°, β = 90.00° and γ = 90.00°. The inequivalent atoms are Si at (0.000, 0.000, 0.000), B at (0.500, 0.500, 0.500), I at (0.000, 0.000, 0.500) and O at (0.000, 0.500, 0.000).

Its energy above the most stable polymorph in this dataset is 0 meV per atom.

***

## CeUGa (GGA-PBE)

Data for CeUGa after structural relaxation.

It has space group Cmcm (No. 63), with a = 3.926 Å, b = 15.943 Å, c = 4.374 Å, α = 90.00°, β = 90.00° and γ = 90.00°. The inequivalent atoms are Ce at (0.000, 0.057, 0.250), U at (0.000, 0.254, 0.750) and Ga at (0.000, 0.392, 0.250).

Its energy above the most stable polymorph in this dataset is 0 meV per atom. As for the formation energy: -0.441 eV per formula unit.

***

## Ba2ZrOs3O12 (GGA-PBE)

Data for Ba2ZrOs3O12 after structural relaxation.

It has space group R-3m (No. 166, hexagonal axes), with a = 7.2434 Å, b = 7.2434 Å, c = 18.2621 Å, α = 90.00°, β = 90.00° and γ = 120.00°. The inequivalent atoms are Ba at (0.0000, 0.0000, 0.1488), Zr at (0.0000, 0.0000, 0.5000), Os at (0.0000, 0.5000, 0.0000), O at (0.0364, 0.5182, 0.1088) and O at (0.0807, 0.5403, 0.3423).

Its final energy is -412.5 eV for the cell shown.

***

## CaMgH (GGA-PBE)

Data for CaMgH after structural relaxation.

It has space group Pmma (No. 51), with a = 5.538 Å, b = 3.526 Å, c = 5.820 Å, α = 90.00°, β = 90.00° and γ = 90.00°. The inequivalent atoms are Ca at (0.250, 0.000, 0.187), Mg at (0.250, 0.500, 0.673) and H at (0.000, 0.500, 0.000).

Its energy above the most stable polymorph in this dataset is 98 meV per atom.

***

## Si2AsRh (GGA-PBE)

Data for Si2AsRh after structural relaxation.

It has space group P4/mmm (No. 123), with a = 4.705 Å, b = 4.705 Å, c = 2.758 Å, α = 90.00°, β = 90.00° and γ = 90.00°. The inequivalent atoms are Si at (0.000, 0.500, 0.000), As at (0.000, 0.000, 0.500) and Rh at (0.500, 0.500, 0.500).

Its energy above the most stable polymorph in this dataset is 420 meV per atom.

***

## BaAl3Cd (GGA-PBE)

Data for BaAl3Cd after structural relaxation.

It has space group I4mm (No. 107), with a = 4.545 Å, b = 4.545 Å, c = 11.995 Å, α = 90.00°, β = 90.00° and γ = 90.00°. The inequivalent atoms are Ba at (0.000, 0.000, 0.000), Al at (0.000, 0.000, 0.614), Al at (0.000, 0.500, 0.241) and Cd at (0.000, 0.000, 0.380).

As for the formation energy: -1.111 eV per formula unit.

***

## MgBi2O5 (GGA-PBE)

Data for MgBi2O5 after structural relaxation.

It has space group Pmn2_1 (No. 31), with a = 3.657 Å, b = 5.206 Å, c = 13.174 Å, α = 90.00°, β = 90.00° and γ = 90.00°. The inequivalent atoms are Mg at (0.000, 0.156, 0.000), Bi at (0.000, 0.319, 0.665), Bi at (0.000, 0.383, 0.390), O at (0.000, 0.000, 0.422), O at (0.000, 0.400, 0.232), O at (0.000, 0.412, 0.879), O at (0.000, 0.592, 0.536) and O at (0.000, 0.848, 0.087).

Its energy above the most stable polymorph in this dataset is 76 meV per atom.

***

## CsHfHgTe2 (GGA-PBE)

Data for CsHfHgTe2 after structural relaxation.

It has space group P4/mmm (No. 123), with a = 5.677 Å, b = 5.677 Å, c = 5.759 Å, α = 90.00°, β = 90.00° and γ = 90.00°. The inequivalent atoms are Cs at (0.000, 0.000, 0.000), Hf at (0.500, 0.500, 0.500), Hg at (0.500, 0.500, 0.000) and Te at (0.000, 0.500, 0.500).

Its final energy is -20.4 eV for the cell shown.